Density functional theory data (PBE) for a relaxed structure of TiMnMo2.

Lattice parameters (Å, degrees): 4.3423 4.3423 3.0691 90.00 90.00 90.00
Space group P4/mmm (No. 123)
Asymmetric unit:
Ti1 0.0000 0.0000 0.0000 x1
Mn1 0.5000 0.5000 0.0000 x1
Mo1 0.0000 0.5000 0.5000 x2

Values from the calculation:
**DFT formation energy**: -19 meV per atom
**M_tot**: 0.0 μB/f.u.